Computed, not measured: HoMn2O4 after structural relaxation at the GGA+U level of DFT.

a = 6.4631 Å, b = 6.4631 Å, c = 6.2603 Å
α = 61.53°, β = 61.53°, γ = 57.31°
With the nearest neighbours (Å) after each atom.
Sites, in units of the cell vectors:
Mn: 0.5000 0.0000 0.0000  6 O 2.09-2.31
Mn: 0.0000 0.5000 0.0000  6 O 2.09-2.31
Mn: 0.5000 0.5000 0.5000  4 O 1.97
Mn: 0.5000 0.5000 0.0000  6 O 2.21-2.22
O: 0.7521 0.7521 0.2213  2 Mn 2.09, 1 Ho 2.15
O: 0.2679 0.2679 0.2043  3 Mn 2.09-2.22, 1 Ho 2.15
O: 0.7137 0.2681 0.7340  2 Mn 1.97-2.21, 1 Ho 2.14
O: 0.2863 0.7319 0.2660  2 Mn 1.97-2.21, 1 Ho 2.14
O: 0.7319 0.2863 0.2660  2 Mn 1.97-2.21, 1 Ho 2.14
O: 0.2681 0.7137 0.7340  2 Mn 1.97-2.21, 1 Ho 2.14
O: 0.2479 0.2479 0.7787  2 Mn 2.09, 1 Ho 2.15
O: 0.7321 0.7321 0.7957  3 Mn 2.09-2.22, 1 Ho 2.15
Ho: 0.1251 0.1251 0.6107  4 O 2.14-2.15
Ho: 0.8749 0.8749 0.3893  4 O 2.14-2.15

E_tot = -7.862 eV per atom
distance to the lowest polymorph of the same formula = 0.49 eV/f.u.
theoretical density = 6.1 g/cm3